# SrAlAg2 PBE relaxed
# space-group type = Cm, No. 8
# energy of formation = -190 meV/atom
# DOS at the Fermi energy = 0.583 states/eV per atom
data_SrAlAg2
_chemical_formula_sum 'Sr1 Al1 Ag2'
_space_group_name_H-M_alt 'P 1'
_space_group_IT_number 1
_cell_length_a 4.6045
_cell_length_b 4.6045
_cell_length_c 6.2234
_cell_angle_alpha 111.88
_cell_angle_beta 111.88
_cell_angle_gamma 60.01
loop_
_space_group_symop_operation_xyz
'x,y,z'
loop_
_atom_site_label
_atom_site_type_symbol
_atom_site_fract_x
_atom_site_fract_y
_atom_site_fract_z
Sr1 Sr 0.0000 0.0000 0.0000
Al1 Al 0.1957 0.1957 0.5885
Ag1 Ag 0.5296 0.5296 0.5899
Ag2 Ag 0.8043 0.8043 0.4143